! LiFe2O2F3 (GGA+U, optimized geometry); values from VASP
&SYSTEM
  ibrav = 0, nat = 16, ntyp = 4
/
ATOMIC_SPECIES
O 16.00 O.upf
Li 6.94 Li.upf
F 19.00 F.upf
Fe 55.84 Fe.upf
ATOMIC_POSITIONS crystal
O 0.0000 0.1128 0.4166
O 0.5000 0.1397 0.7110
O 0.5000 0.8603 0.2110
O 0.0000 0.8872 0.9166
Li 0.0000 0.3980 0.1721
Li 0.0000 0.6020 0.6721
F 0.0000 0.3874 0.5736
F 0.5000 0.3797 0.2982
F 0.5000 0.6203 0.7982
F 0.0000 0.2425 0.0075
F 0.0000 0.6126 0.0736
F 0.0000 0.7575 0.5075
Fe 0.0000 0.8974 0.3306
Fe 0.5000 0.2409 0.4905
Fe 0.5000 0.7591 0.9905
Fe 0.0000 0.1026 0.8306
CELL_PARAMETERS angstrom
-3.1081 0.1697 0.5938
0.9260 -5.0956 6.3027
1.3161 6.4725 5.0395
! - N(E_F) (states/eV/f.u.) = 0.00
! - distance to the lowest polymorph of the same formula (meV/atom) = 0.0
! - E_tot (eV/atom) = -5.7236
! - calculated density (g/cm³) = 3.21